# 1
{"formula": "La2NdEr3", "functional": "PBE", "state": "optimized geometry", "lattice_angstrom": [[8.4924, -3.4999, 0.0000], [8.4924, 3.4999, 0.0000], [-1.4676, 0.0000, 6.9061]], "species": ["La", "La", "La", "La", "Nd", "Nd", "Er", "Er", "Er", "Er", "Er", "Er"], "fractional_positions": [[0.1672, 0.1868, 0.0902], [0.1868, 0.1672, 0.5902], [0.8132, 0.8328, 0.4098], [0.8328, 0.8132, 0.9098], [0.2347, 0.7653, 0.2500], [0.7653, 0.2347, 0.7500], [0.2338, 0.7662, 0.7500], [0.3571, 0.3715, 0.4342], [0.3715, 0.3571, 0.9342], [0.6285, 0.6429, 0.0658], [0.6429, 0.6285, 0.5658], [0.7662, 0.2338, 0.2500]], "ef_mev_per_atom": 143, "dos_ef_per_ev_cell": 19.01, "sg": "C2/c, No. 15", "crystal_system": "monoclinic"}

---

# 2
{"formula": "Li2Ge2Ir", "functional": "PBE", "state": "optimized geometry", "lattice_angstrom": [[2.5876, -6.3145, 0.0000], [2.5876, 6.3145, 0.0000], [0.0000, 0.0000, 5.4937]], "species": ["Li", "Li", "Li", "Li", "Ge", "Ge", "Ge", "Ge", "Ir", "Ir"], "fractional_positions": [[0.0668, 0.9332, 0.7500], [0.3206, 0.6794, 0.2500], [0.6794, 0.3206, 0.7500], [0.9332, 0.0668, 0.2500], [0.1164, 0.3845, 0.7500], [0.3845, 0.1164, 0.2500], [0.6155, 0.8836, 0.7500], [0.8836, 0.6155, 0.2500], [0.5000, 0.5000, 0.0000], [0.5000, 0.5000, 0.5000]], "ef_mev_per_atom": -191, "dos_ef_per_ev_cell": 5.70, "sg": "Cmcm, No. 63", "crystal_system": "orthorhombic"}

---

Please write out number 2 again, unchanged.
{"formula": "Li2Ge2Ir", "functional": "PBE", "state": "optimized geometry", "lattice_angstrom": [[2.5876, -6.3145, 0.0000], [2.5876, 6.3145, 0.0000], [0.0000, 0.0000, 5.4937]], "species": ["Li", "Li", "Li", "Li", "Ge", "Ge", "Ge", "Ge", "Ir", "Ir"], "fractional_positions": [[0.0668, 0.9332, 0.7500], [0.3206, 0.6794, 0.2500], [0.6794, 0.3206, 0.7500], [0.9332, 0.0668, 0.2500], [0.1164, 0.3845, 0.7500], [0.3845, 0.1164, 0.2500], [0.6155, 0.8836, 0.7500], [0.8836, 0.6155, 0.2500], [0.5000, 0.5000, 0.0000], [0.5000, 0.5000, 0.5000]], "ef_mev_per_atom": -191, "dos_ef_per_ev_cell": 5.70, "sg": "Cmcm, No. 63", "crystal_system": "orthorhombic"}